(1)
A geometry-optimized ZnH12C6S2N10O2 structure, computed with PBEsol.

Cell: 9.8683 9.8683 18.4295 Å, 112.75 112.75 26.93°
Last column: nearest neighbours and their distance in Å.
Fractional coordinates of all 66 atoms:
Zn 0.1889 0.8111 0.7500  4 N 1.93-1.94
Zn 0.8111 0.1889 0.2500  4 N 1.93-1.94
H 0.0032 0.0687 0.4567  1 N 1.03
H 0.0687 0.0032 0.9567  1 N 1.03
H 0.1122 0.6643 0.5537  1 N 1.03
H 0.1260 0.3520 0.2459  1 O 1.02
H 0.1378 0.4962 0.7323  1 O 0.98
H 0.2288 0.4433 0.8711  1 N 1.04
H 0.2477 0.3940 0.9592  1 N 1.02
H 0.3357 0.8878 0.9463  1 N 1.03
H 0.3520 0.1260 0.7459  1 O 1.02
H 0.3940 0.2477 0.4592  1 N 1.02
H 0.4433 0.2288 0.3711  1 N 1.04
H 0.4962 0.1378 0.2323  1 O 0.98
H 0.5038 0.8622 0.7677  1 O 0.98
H 0.5567 0.7712 0.6289  1 N 1.04
H 0.6060 0.7523 0.5408  1 N 1.02
H 0.6480 0.8740 0.2541  1 O 1.02
H 0.6643 0.1122 0.0537  1 N 1.03
H 0.7523 0.6060 0.0408  1 N 1.02
H 0.7712 0.5567 0.1289  1 N 1.04
H 0.8622 0.5038 0.2677  1 O 0.98
H 0.8740 0.6480 0.7541  1 O 1.02
H 0.8878 0.3357 0.4463  1 N 1.03
H 0.9313 0.9968 0.0433  1 N 1.03
H 0.9968 0.9313 0.5433  1 N 1.03
C 0.0902 0.6498 0.1452  1 N 1.18
C 0.2286 0.5857 0.4546  3 N 1.33-1.36
C 0.3502 0.9098 0.3548  1 N 1.18
C 0.3782 0.5325 0.3617  2 N 1.18-1.28
C 0.4143 0.7714 0.0454  3 N 1.33-1.36
C 0.4675 0.6218 0.1383  2 N 1.18-1.28
C 0.5325 0.3782 0.8617  2 N 1.18-1.28
C 0.5857 0.2286 0.9546  3 N 1.33-1.36
C 0.6218 0.4675 0.6383  2 N 1.18-1.28
C 0.6498 0.0902 0.6452  1 N 1.18
C 0.7714 0.4143 0.5454  3 N 1.33-1.36
C 0.9098 0.3502 0.8548  1 N 1.18
S 0.2579 0.3521 0.0972  1 C 1.61
S 0.3521 0.2579 0.5972  1 C 1.61
S 0.6479 0.7421 0.4028  1 C 1.61
S 0.7421 0.6479 0.9028  1 C 1.61
N 0.0362 0.1297 0.8199  1 C 1.18
N 0.0927 0.7445 0.5205  2 H 1.03
N 0.1297 0.0362 0.3199  1 C 1.18
N 0.2102 0.6961 0.4167  2 C 1.28-1.36
N 0.2555 0.9073 0.9795  2 H 1.03
N 0.3039 0.7899 0.0833  2 C 1.28-1.36
N 0.3306 0.3749 0.9277  2 H 1.02-1.04
N 0.3749 0.3306 0.4277  2 H 1.02-1.04
N 0.3985 0.5250 0.8112  1 C 1.18
N 0.4750 0.6015 0.6888  1 C 1.18
N 0.5250 0.3985 0.3112  1 C 1.18
N 0.6015 0.4750 0.1888  1 C 1.18
N 0.6251 0.6694 0.5723  2 H 1.02-1.04
N 0.6694 0.6251 0.0723  2 H 1.02-1.04
N 0.6961 0.2102 0.9167  2 C 1.28-1.36
N 0.7445 0.0927 0.0205  2 H 1.03
N 0.7899 0.3039 0.5833  2 C 1.28-1.36
N 0.8703 0.9638 0.6801  1 C 1.18
N 0.9073 0.2555 0.4795  2 H 1.03
N 0.9638 0.8703 0.1801  1 C 1.18
O 0.0969 0.4782 0.7654  2 H 0.98-1.02
O 0.4782 0.0969 0.2654  2 H 0.98-1.02
O 0.5218 0.9031 0.7346  2 H 0.98-1.02
O 0.9031 0.5218 0.2346  2 H 0.98-1.02

Values from the calculation:
- DFT total energy: -426.81 eV per cell
- Total magnetic moment: 0.00 μB per formula unit
- Symmetry: C2/c


(2)
A geometry-optimized ZnH12C2S2N6O8 structure, computed with PBEsol.

Cell: 9.8130 9.8130 9.8130 Å, 121.96 121.96 86.64°
Last column: nearest neighbours and their distance in Å.
Fractional coordinates of all 62 atoms:
Zn 0.0000 0.0000 0.0000  4 O 1.93
Zn 0.7500 0.2500 0.5000  4 O 1.93
H 0.1233 0.1149 0.6311  1 N 1.02
H 0.1332 0.5229 0.0099  1 N 1.02
H 0.1470 0.5179 0.6639  1 N 1.02
H 0.2331 0.1039 0.8361  1 N 1.02
H 0.2370 0.7271 0.1103  1 N 1.02
H 0.2422 0.7338 0.8689  1 N 1.02
H 0.2662 0.1351 0.5085  1 N 1.02
H 0.2679 0.3970 0.1639  1 N 1.02
H 0.2729 0.3832 0.5099  1 N 1.02
H 0.4771 0.4870 0.6103  1 N 1.02
H 0.4821 0.1461 0.6292  1 N 1.02
H 0.4838 0.4922 0.3689  1 N 1.02
H 0.5078 0.8767 0.9915  1 N 1.02
H 0.5130 0.1233 0.9901  1 N 1.02
H 0.5169 0.8530 0.3708  1 N 1.02
H 0.6030 0.7669 0.8708  1 N 1.02
H 0.6168 0.1267 0.8897  1 N 1.02
H 0.6267 0.7578 0.4915  1 N 1.02
H 0.8539 0.4831 0.3361  1 N 1.02
H 0.8649 0.3733 0.1311  1 N 1.02
H 0.8733 0.7630 0.4901  1 N 1.02
H 0.8767 0.8668 0.3897  1 N 1.02
H 0.8851 0.5162 0.0085  1 N 1.02
H 0.8961 0.7321 0.1292  1 N 1.02
C 0.3708 0.1250 0.7458  3 N 1.33
C 0.3750 0.6292 0.7542  3 N 1.33
C 0.3792 0.6250 0.2542  3 N 1.33
C 0.8750 0.6208 0.2458  3 N 1.33
S 0.3750 0.0931 0.2181  4 O 1.47-1.51
S 0.8431 0.6250 0.7181  4 O 1.47-1.51
S 0.8750 0.1569 0.7819  4 O 1.47-1.51
S 0.9069 0.1250 0.2819  4 O 1.47-1.51
N 0.2324 0.1194 0.7404  2 H 1.02
N 0.2391 0.6250 0.1141  2 H 1.02
N 0.2420 0.6291 0.7596  2 H 1.02
N 0.3709 0.1306 0.6130  2 H 1.02
N 0.3750 0.4891 0.6141  2 H 1.02
N 0.3791 0.4920 0.2596  2 H 1.02
N 0.5080 0.7676 0.8870  2 H 1.02
N 0.5109 0.1250 0.8859  2 H 1.02
N 0.5176 0.7580 0.3870  2 H 1.02
N 0.8694 0.4824 0.2404  2 H 1.02
N 0.8750 0.7609 0.3859  2 H 1.02
N 0.8806 0.6209 0.1130  2 H 1.02
O 0.0012 0.7704 0.9041  1 S 1.51
O 0.0251 0.3036 0.9605  1 S 1.47
O 0.0536 0.2751 0.4605  1 S 1.47
O 0.2296 0.1337 0.2309  1 S 1.51
O 0.3431 0.0647 0.0395  1 S 1.47
O 0.4069 0.9464 0.2216  1 S 1.47
O 0.5204 0.2512 0.4041  1 S 1.51
O 0.6964 0.6569 0.7216  1 S 1.47
O 0.7249 0.1853 0.7784  1 S 1.47
O 0.7488 0.1529 0.2691  1 S 1.51
O 0.8147 0.5931 0.5395  1 S 1.47
O 0.8471 0.1163 0.5959  1 S 1.51
O 0.8663 0.0971 0.0959  1 S 1.51
O 0.8837 0.4796 0.7309  1 S 1.51
O 0.9029 0.9988 0.7691  1 S 1.51
O 0.9353 0.9749 0.2784  1 S 1.47

Values from the calculation:
- DFT total energy: -375.30 eV per cell
- Total magnetic moment: 0.00 μB per formula unit
- Symmetry: I-42d


(3)
A geometry-optimized Si5H15C4NO12 structure, computed with PBEsol.

Cell: 8.6688 9.3636 8.8724 Å, 90.00 95.79 90.00°
Last column: nearest neighbours and their distance in Å.
Fractional coordinates of all 74 atoms:
Si 0.0324 0.0000 0.1838  4 O 1.60-1.64
Si 0.2692 0.5033 0.0311  4 O 1.61-1.63
Si 0.2758 0.2432 0.2519  4 O 1.60-1.64
Si 0.2917 0.7729 0.2533  4 O 1.61-1.63
Si 0.4513 0.5084 0.7308  4 O 1.61-1.64
Si 0.5487 0.0084 0.2692  4 O 1.61-1.64
Si 0.7083 0.2729 0.7467  4 O 1.61-1.63
Si 0.7242 0.7432 0.7481  4 O 1.60-1.64
Si 0.7308 0.0033 0.9689  4 O 1.61-1.63
Si 0.9676 0.5000 0.8162  4 O 1.60-1.64
H 0.0042 0.5594 0.2600  1 C 1.10
H 0.0478 0.9976 0.5589  1 C 1.10
H 0.0915 0.1784 0.6193  1 C 1.10
H 0.1358 0.8693 0.8739  1 C 1.10
H 0.1626 0.4940 0.6423  1 O 1.03
H 0.1812 0.8023 0.6921  1 C 1.10
H 0.1877 0.1226 0.9348  1 C 1.10
H 0.2830 0.6467 0.4834  1 O 1.03
H 0.2855 0.3978 0.4739  1 O 1.03
H 0.3015 0.2238 0.8129  1 C 1.10
H 0.3209 0.9398 0.5359  1 C 1.10
H 0.3348 0.8361 0.8410  1 C 1.10
H 0.3515 0.1296 0.5704  1 C 1.10
H 0.3890 0.0788 0.9225  1 C 1.10
H 0.4661 0.9990 0.6826  1 C 1.10
H 0.5339 0.4990 0.3174  1 C 1.10
H 0.6110 0.5788 0.0775  1 C 1.10
H 0.6485 0.6296 0.4296  1 C 1.10
H 0.6652 0.3361 0.1590  1 C 1.10
H 0.6791 0.4398 0.4641  1 C 1.10
H 0.6985 0.7238 0.1871  1 C 1.10
H 0.7145 0.8978 0.5261  1 O 1.03
H 0.7170 0.1467 0.5166  1 O 1.03
H 0.8123 0.6226 0.0652  1 C 1.10
H 0.8188 0.3023 0.3079  1 C 1.10
H 0.8374 0.9940 0.3577  1 O 1.03
H 0.8642 0.3693 0.1261  1 C 1.10
H 0.9085 0.6784 0.3807  1 C 1.10
H 0.9522 0.4976 0.4411  1 C 1.10
H 0.9958 0.0594 0.7400  1 C 1.10
C 0.0812 0.0670 0.6569  3 H 1.10
C 0.2202 0.8708 0.7893  3 H 1.10
C 0.2812 0.1177 0.8600  3 H 1.10
C 0.3520 0.0226 0.6217  3 H 1.10
C 0.6480 0.5226 0.3783  3 H 1.10
C 0.7188 0.6177 0.1400  3 H 1.10
C 0.7798 0.3708 0.2107  3 H 1.10
C 0.9188 0.5670 0.3431  3 H 1.10
N 0.2339 0.0194 0.7324  4 C 1.48-1.49
N 0.7661 0.5194 0.2676  4 C 1.48-1.49
O 0.0533 0.4659 0.6688  1 H 1.03
O 0.0851 0.5031 0.9734  2 Si 1.63-1.64
O 0.1216 0.1536 0.1878  2 Si 1.63
O 0.1602 0.8753 0.1647  2 Si 1.63
O 0.2390 0.3156 0.4077  1 H 1.03
O 0.2426 0.7321 0.4182  1 H 1.03
O 0.3107 0.6336 0.1474  2 Si 1.61-1.63
O 0.3156 0.3555 0.1197  2 Si 1.62-1.64
O 0.3205 0.5178 0.5890  3 H 1.51-1.54, 1 Si 1.61
O 0.3734 0.5208 0.8912  2 Si 1.62-1.64
O 0.4242 0.1371 0.2738  2 Si 1.62
O 0.4584 0.8552 0.2655  2 Si 1.63
O 0.5416 0.3552 0.7345  2 Si 1.63
O 0.5758 0.6371 0.7262  2 Si 1.62
O 0.6266 0.0208 0.1088  2 Si 1.62-1.64
O 0.6795 0.0178 0.4110  3 H 1.51-1.54, 1 Si 1.61
O 0.6844 0.8555 0.8803  2 Si 1.62-1.64
O 0.6893 0.1336 0.8526  2 Si 1.61-1.63
O 0.7574 0.2321 0.5818  1 H 1.03
O 0.7610 0.8156 0.5923  1 H 1.03
O 0.8398 0.3753 0.8353  2 Si 1.63
O 0.8784 0.6536 0.8122  2 Si 1.63
O 0.9149 0.0031 0.0266  2 Si 1.63-1.64
O 0.9467 0.9659 0.3312  1 H 1.03

Values from the calculation:
- DFT total energy: -477.73 eV per cell
- Total magnetic moment: 0.00 μB per formula unit
- Symmetry: P2_1


(4)
A geometry-optimized SmH9C5N2O8 structure, computed with PBEsol.

Cell: 9.8738 9.8738 8.5686 Å, 90.00 90.00 140.15°
Last column: nearest neighbours and their distance in Å.
Fractional coordinates of all 50 atoms:
Sm 0.1417 0.8583 0.7500  8 O 2.31-2.46
Sm 0.8583 0.1417 0.2500  8 O 2.31-2.46
H 0.0992 0.5213 0.5533  1 C 1.12
H 0.1713 0.3630 0.8989  1 N 1.04
H 0.2546 0.2546 0.5000  1 C 1.11
H 0.3196 0.6804 0.2500  1 C 1.11
H 0.3339 0.3521 0.8252  1 N 1.04
H 0.3436 0.6564 0.7500  1 C 1.10
H 0.3521 0.3339 0.1748  1 N 1.04
H 0.3630 0.1713 0.1011  1 N 1.04
H 0.4787 0.9008 0.9467  1 C 1.12
H 0.5213 0.0992 0.4467  1 C 1.12
H 0.6370 0.8287 0.6011  1 N 1.04
H 0.6479 0.6661 0.6748  1 N 1.04
H 0.6564 0.3436 0.2500  1 C 1.10
H 0.6661 0.6479 0.3252  1 N 1.04
H 0.6804 0.3196 0.7500  1 C 1.11
H 0.7454 0.7454 0.0000  1 C 1.11
H 0.8287 0.6370 0.3989  1 N 1.04
H 0.9008 0.4787 0.0533  1 C 1.12
C 0.0160 0.5287 0.4733  1 H 1.12
C 0.0890 0.0890 0.5000  1 H 1.11
C 0.3795 0.6205 0.2500  1 H 1.11
C 0.4030 0.5970 0.7500  1 H 1.10
C 0.4713 0.9840 0.0267  1 H 1.12
C 0.5287 0.0160 0.5267  1 H 1.12
C 0.5970 0.4030 0.2500  1 H 1.10
C 0.6205 0.3795 0.7500  1 H 1.11
C 0.9110 0.9110 0.0000  1 H 1.11
C 0.9840 0.4713 0.9733  1 H 1.12
N 0.2973 0.4262 0.8322  2 H 1.04
N 0.4262 0.2973 0.1678  2 H 1.04
N 0.5738 0.7027 0.6678  2 H 1.04
N 0.7027 0.5738 0.3322  2 H 1.04
O 0.0017 0.6398 0.5158  1 C 1.26
O 0.0504 0.9468 0.5632  1 C 1.26
O 0.0532 0.9496 0.9368  1 C 1.26
O 0.0584 0.5748 0.8470  1 C 1.27
O 0.2454 0.4227 0.2593  1 C 1.27
O 0.3602 0.9983 0.9842  1 C 1.26
O 0.4227 0.2454 0.7407  1 C 1.27
O 0.4252 0.9416 0.6530  1 C 1.27
O 0.5748 0.0584 0.1530  1 C 1.27
O 0.5773 0.7546 0.2407  1 C 1.27
O 0.6398 0.0017 0.4842  1 C 1.26
O 0.7546 0.5773 0.7593  1 C 1.27
O 0.9416 0.4252 0.3470  1 C 1.27
O 0.9468 0.0504 0.4368  1 C 1.26
O 0.9496 0.0532 0.0632  1 C 1.26
O 0.9983 0.3602 0.0158  1 C 1.26

Values from the calculation:
- DFT total energy: -335.16 eV per cell
- Total magnetic moment: 0.00 μB per formula unit
- Symmetry: C222_1


(5)
A geometry-optimized ZnH7C4N3O7 structure, computed with PBEsol.

Cell: 10.4876 6.6489 13.6727 Å, 90.00 120.16 90.00°
Last column: nearest neighbours and their distance in Å.
Fractional coordinates of all 88 atoms:
Zn 0.2106 0.1993 0.0442  5 O 2.03-2.14, 1 N 2.14
Zn 0.2106 0.3007 0.5442  5 O 2.03-2.14, 1 N 2.14
Zn 0.7894 0.6993 0.4558  5 O 2.03-2.14, 1 N 2.14
Zn 0.7894 0.8007 0.9558  5 O 2.03-2.14, 1 N 2.14
H 0.0123 0.1865 0.3513  1 O 1.02
H 0.0123 0.3135 0.8513  1 O 1.02
H 0.0637 0.6474 0.6062  1 O 1.01
H 0.0637 0.8526 0.1062  1 O 1.01
H 0.1174 0.6027 0.3944  1 O 1.00
H 0.1174 0.8973 0.8944  1 O 1.00
H 0.1270 0.5551 0.0821  1 O 1.00
H 0.1270 0.9449 0.5821  1 O 1.00
H 0.2774 0.6655 0.4982  1 O 1.00
H 0.2774 0.8345 0.9982  1 O 1.00
H 0.2778 0.5204 0.1940  1 O 1.01
H 0.2778 0.9796 0.6940  1 O 1.01
H 0.4461 0.1486 0.2841  1 N 1.07
H 0.4461 0.3514 0.7841  1 N 1.07
H 0.5539 0.6486 0.2159  1 N 1.07
H 0.5539 0.8514 0.7159  1 N 1.07
H 0.7222 0.0204 0.3060  1 O 1.01
H 0.7222 0.4796 0.8060  1 O 1.01
H 0.7226 0.1655 0.0018  1 O 1.00
H 0.7226 0.3345 0.5018  1 O 1.00
H 0.8730 0.0551 0.4179  1 O 1.00
H 0.8730 0.4449 0.9179  1 O 1.00
H 0.8826 0.1027 0.1056  1 O 1.00
H 0.8826 0.3973 0.6056  1 O 1.00
H 0.9363 0.1474 0.8938  1 O 1.01
H 0.9363 0.3526 0.3938  1 O 1.01
H 0.9877 0.6865 0.1487  1 O 1.02
H 0.9877 0.8135 0.6487  1 O 1.02
C 0.1539 0.1096 0.2461  2 O 1.26-1.27
C 0.1539 0.3904 0.7461  2 O 1.26-1.27
C 0.2950 0.1663 0.3491  2 N 1.33-1.35, 1 C 1.49
C 0.2950 0.3337 0.8491  2 N 1.33-1.35, 1 C 1.49
C 0.4617 0.2403 0.0118  2 N 1.33-1.35, 1 C 1.49
C 0.4617 0.2597 0.5118  2 N 1.33-1.35, 1 C 1.49
C 0.4711 0.6650 0.3700  2 O 1.25-1.28
C 0.4711 0.8350 0.8700  2 O 1.25-1.28
C 0.5289 0.1650 0.1300  2 O 1.25-1.28
C 0.5289 0.3350 0.6300  2 O 1.25-1.28
C 0.5383 0.7403 0.4882  2 N 1.33-1.35, 1 C 1.49
C 0.5383 0.7597 0.9882  2 N 1.33-1.35, 1 C 1.49
C 0.7050 0.6663 0.1509  2 N 1.33-1.35, 1 C 1.49
C 0.7050 0.8337 0.6509  2 N 1.33-1.35, 1 C 1.49
C 0.8461 0.6096 0.2539  2 O 1.26-1.27
C 0.8461 0.8904 0.7539  2 O 1.26-1.27
N 0.3159 0.2192 0.4501  2 C 1.33-1.35
N 0.3159 0.2808 0.9501  2 C 1.33-1.35
N 0.4260 0.1730 0.3525  1 H 1.07
N 0.4260 0.3270 0.8525  1 H 1.07
N 0.4676 0.7337 0.0458  1 C 1.33, 1 N 1.34
N 0.4676 0.7663 0.5458  1 C 1.33, 1 N 1.34
N 0.5324 0.2337 0.4542  1 C 1.33, 1 N 1.34
N 0.5324 0.2663 0.9542  1 C 1.33, 1 N 1.34
N 0.5740 0.6730 0.1475  1 H 1.07
N 0.5740 0.8270 0.6475  1 H 1.07
N 0.6841 0.7192 0.0499  2 C 1.33-1.35
N 0.6841 0.7808 0.5499  2 C 1.33-1.35
O 0.9999 0.2272 0.4179  2 H 1.01-1.02
O 0.9999 0.2728 0.9179  2 H 1.01-1.02
O 0.0001 0.7272 0.0821  2 H 1.01-1.02
O 0.0001 0.7728 0.5821  2 H 1.01-1.02
O 0.0355 0.1180 0.2483  1 C 1.26
O 0.0355 0.3820 0.7483  1 C 1.26
O 0.1649 0.0510 0.1619  1 C 1.27
O 0.1649 0.4490 0.6619  1 C 1.27
O 0.1843 0.5925 0.4779  2 H 1.00
O 0.1843 0.9075 0.9779  2 H 1.00
O 0.2195 0.0255 0.6124  2 H 1.00-1.01
O 0.2195 0.4745 0.1124  2 H 1.00-1.01
O 0.3370 0.6233 0.3162  1 C 1.25
O 0.3370 0.8767 0.8162  1 C 1.25
O 0.4364 0.1457 0.1647  1 C 1.28
O 0.4364 0.3543 0.6647  1 C 1.28
O 0.5636 0.6457 0.3353  1 C 1.28
O 0.5636 0.8543 0.8353  1 C 1.28
O 0.6630 0.1233 0.1838  1 C 1.25
O 0.6630 0.3767 0.6838  1 C 1.25
O 0.7805 0.5255 0.8876  2 H 1.00-1.01
O 0.7805 0.9745 0.3876  2 H 1.00-1.01
O 0.8157 0.0925 0.0221  2 H 1.00
O 0.8157 0.4075 0.5221  2 H 1.00
O 0.8351 0.5510 0.3381  1 C 1.27
O 0.8351 0.9490 0.8381  1 C 1.27
O 0.9645 0.6180 0.2517  1 C 1.26
O 0.9645 0.8820 0.7517  1 C 1.26

Values from the calculation:
- DFT total energy: -575.88 eV per cell
- Total magnetic moment: 0.00 μB per formula unit
- Symmetry: P2_1/c


(6)
A geometry-optimized RbH4CN3 structure, computed with PBEsol.

Cell: 6.8663 7.0154 7.3482 Å, 90.00 90.00 90.00°
Last column: nearest neighbours and their distance in Å.
Fractional coordinates of all 36 atoms:
Rb 0.0262 0.2500 0.0723  10 H 2.89-3.21, 6 N 3.07-3.23, 1 C 3.08
Rb 0.4738 0.7500 0.5723  10 H 2.89-3.21, 6 N 3.07-3.23, 1 C 3.08
Rb 0.5262 0.2500 0.4277  10 H 2.89-3.21, 6 N 3.07-3.23, 1 C 3.08
Rb 0.9738 0.7500 0.9277  10 H 2.89-3.21, 6 N 3.07-3.23, 1 C 3.08
H 0.0654 0.6226 0.5634  1 N 1.05
H 0.0654 0.8774 0.5634  1 N 1.05
H 0.2035 0.5961 0.2784  1 N 1.03
H 0.2035 0.9039 0.2784  1 N 1.03
H 0.2965 0.0961 0.7784  1 N 1.03
H 0.2965 0.4039 0.7784  1 N 1.03
H 0.4346 0.1226 0.0634  1 N 1.05
H 0.4346 0.3774 0.0634  1 N 1.05
H 0.5654 0.6226 0.9366  1 N 1.05
H 0.5654 0.8774 0.9366  1 N 1.05
H 0.7035 0.5961 0.2216  1 N 1.03
H 0.7035 0.9039 0.2216  1 N 1.03
H 0.7965 0.0961 0.7216  1 N 1.03
H 0.7965 0.4039 0.7216  1 N 1.03
H 0.9346 0.1226 0.4366  1 N 1.05
H 0.9346 0.3774 0.4366  1 N 1.05
C 0.1300 0.2500 0.6231  3 N 1.35-1.37
C 0.3700 0.7500 0.1231  3 N 1.35-1.37
C 0.6300 0.2500 0.8769  3 N 1.35-1.37
C 0.8700 0.7500 0.3769  3 N 1.35-1.37
N 0.0085 0.7500 0.5117  2 H 1.05
N 0.1907 0.0775 0.6804  1 H 1.03
N 0.1907 0.4225 0.6804  1 H 1.03
N 0.3093 0.5775 0.1804  1 H 1.03
N 0.3093 0.9225 0.1804  1 H 1.03
N 0.4915 0.2500 0.0117  2 H 1.05
N 0.5085 0.7500 0.9883  2 H 1.05
N 0.6907 0.0775 0.8196  1 H 1.03
N 0.6907 0.4225 0.8196  1 H 1.03
N 0.8093 0.5775 0.3196  1 H 1.03
N 0.8093 0.9225 0.3196  1 H 1.03
N 0.9915 0.2500 0.4883  2 H 1.05

Values from the calculation:
- DFT total energy: -212.17 eV per cell
- Total magnetic moment: 0.00 μB per formula unit
- Symmetry: Pnma